No. 1
KLiOs2: relaxed, PBE-GGA.

POSCAR file:
```
KLiOs2
1.0
10.497 -0.003 -0.002
10.150 2.678 -0.002
10.150 1.315 2.333
Os Li K
2 1 1
direct
0.010 0.010 0.010
0.490 0.490 0.490
0.750 0.750 0.750
0.250 0.250 0.250
```

Offset from the most stable computed form (meV per atom): 196
Spin magnetization (μB/atom): 0.000
Total energy (eV for the cell shown): -22.63
Energy of formation from the pure elements (eV/atom): 0.71

***

No. 2
K2LiOs: relaxed, PBE-GGA.

POSCAR file:
```
K2LiOs
1.0
6.506 0.014 -0.001
3.495 5.488 0.001
-4.090 -4.407 2.486
Os Li K
1 1 2
direct
0.250 0.750 0.500
0.750 0.250 0.500
0.992 0.992 0.000
0.508 0.508 0.000
```

Offset from the most stable computed form (meV per atom): 286
Spin magnetization (μB/atom): 0.000
Total energy (eV for the cell shown): -10.79
Energy of formation from the pure elements (eV/atom): 1.14

***

No. 3
KLiOs2: relaxed, PBE-GGA.

POSCAR file:
```
KLiOs2
1.0
-0.455 2.465 -1.126
-2.525 -1.626 -2.538
-5.973 1.247 5.142
Os K Li
2 1 1
direct
0.500 0.500 0.152
0.000 0.000 0.038
0.000 0.000 0.475
0.500 0.500 0.835
```

Offset from the most stable computed form (meV per atom): 0
Spin magnetization (μB/atom): 0.000
Total energy (eV for the cell shown): -23.41
Energy of formation from the pure elements (eV/atom): 0.52

***

No. 4
K2LiOs: relaxed, PBE-GGA.

POSCAR file:
```
K2LiOs
1.0
-1.843 5.166 -3.643
-2.889 3.082 -5.051
-5.806 1.523 2.062
K Os Li
2 1 1
direct
0.035 0.035 0.909
0.235 0.235 0.306
0.792 0.792 0.780
0.438 0.438 0.505
```

Offset from the most stable computed form (meV per atom): 62
Spin magnetization (μB/atom): 0.048
Total energy (eV for the cell shown): -11.68
Energy of formation from the pure elements (eV/atom): 0.91

***

No. 5
K2LiOs: relaxed, PBE-GGA.

POSCAR file:
```
K2LiOs
1.0
-0.311 0.266 2.693
4.286 -0.963 0.590
2.194 9.348 -0.672
Os Li K
1 1 2
direct
0.500 0.500 0.666
0.000 0.000 0.592
0.500 0.500 0.337
0.000 0.000 0.905
```

Offset from the most stable computed form (meV per atom): 0
Spin magnetization (μB/atom): 0.042
Total energy (eV for the cell shown): -11.93
Energy of formation from the pure elements (eV/atom): 0.85

***

No. 6
KLiOs2: relaxed, PBE-GGA.

POSCAR file:
```
KLiOs2
1.0
-2.225 3.517 2.564
-2.019 -3.164 3.132
4.720 0.820 -0.974
Os Li K
2 1 1
direct
0.034 0.034 0.000
0.198 0.698 0.500
0.770 0.270 0.500
0.498 0.498 0.000
```

Offset from the most stable computed form (meV per atom): 549
Spin magnetization (μB/atom): 0.000
Total energy (eV for the cell shown): -21.21
Energy of formation from the pure elements (eV/atom): 1.06

***

No. 7
KLiOs2: relaxed, PBE-GGA.

POSCAR file:
```
KLiOs2
1.0
-4.766 -1.869 -2.840
4.547 -3.160 1.901
-1.219 -0.375 2.293
Os K Li
2 1 1
direct
0.500 0.500 0.000
0.000 0.000 0.000
0.500 0.000 0.500
0.000 0.500 0.500
```

Offset from the most stable computed form (meV per atom): 517
Spin magnetization (μB/atom): 0.000
Total energy (eV for the cell shown): -21.34
Energy of formation from the pure elements (eV/atom): 1.03

***

No. 8
K2LiOs: relaxed, PBE-GGA.

POSCAR file:
```
K2LiOs
1.0
-1.712 2.482 1.506
-0.616 -2.019 2.628
8.525 3.184 4.443
K Li Os
2 1 1
direct
0.500 0.500 0.336
0.000 0.000 0.911
0.000 0.000 0.581
0.500 0.500 0.672
```

Offset from the most stable computed form (meV per atom): 132
Spin magnetization (μB/atom): 0.275
Total energy (eV for the cell shown): -11.40
Energy of formation from the pure elements (eV/atom): 0.98

***

No. 9
K2LiOs: relaxed, PBE-GGA.

POSCAR file:
```
K2LiOs
1.0
-7.147 -2.664 -9.833
-9.117 -3.475 -7.725
-8.962 -0.616 -8.611
Os Li K
1 1 2
direct
0.750 0.750 0.750
0.250 0.250 0.250
0.490 0.490 0.490
0.010 0.010 0.010
```

Offset from the most stable computed form (meV per atom): 212
Spin magnetization (μB/atom): 0.109
Total energy (eV for the cell shown): -11.08
Energy of formation from the pure elements (eV/atom): 1.06

***

No. 10
K2LiOs: relaxed, PBE-GGA.

POSCAR file:
```
K2LiOs
1.0
2.884 -1.658 4.462
-2.299 0.279 5.061
-1.437 -4.670 2.665
Li Os K
1 1 2
direct
0.000 0.000 0.000
0.500 0.500 0.500
0.750 0.750 0.750
0.250 0.250 0.250
```

Offset from the most stable computed form (meV per atom): 526
Spin magnetization (μB/atom): 0.415
Total energy (eV for the cell shown): -9.83
Energy of formation from the pure elements (eV/atom): 1.38

***

No. 11
K2LiOs: relaxed, PBE-GGA.

POSCAR file:
```
K2LiOs
1.0
2.818 0.000 0.000
0.000 5.573 0.000
0.000 0.000 5.806
Li K Os
1 2 1
direct
0.500 0.000 0.500
0.000 0.000 0.000
0.500 0.500 0.000
0.000 0.500 0.500
```

Offset from the most stable computed form (meV per atom): 321
Spin magnetization (μB/atom): 0.000
Total energy (eV for the cell shown): -10.65
Energy of formation from the pure elements (eV/atom): 1.17

***

No. 12
K2LiOs: relaxed, PBE-GGA.

POSCAR file:
```
K2LiOs
1.0
-1.721 -4.599 2.687
2.589 -0.690 0.477
0.132 3.093 5.378
Li Os K
1 1 2
direct
0.500 0.250 0.250
0.500 0.750 0.750
0.000 0.211 0.987
0.000 0.289 0.513
```

Offset from the most stable computed form (meV per atom): 232
Spin magnetization (μB/atom): 0.000
Total energy (eV for the cell shown): -11.00
Energy of formation from the pure elements (eV/atom): 1.08

***

No. 13
KLiOs3: relaxed, PBE-GGA.

POSCAR file:
```
KLiOs3
1.0
-3.112 -2.530 1.749
2.041 0.162 3.867
-2.301 3.567 1.065
Li K Os
1 1 3
direct
0.000 0.000 0.000
0.500 0.500 0.500
0.000 0.000 0.500
0.000 0.500 0.000
0.500 0.000 0.000
```

Offset from the most stable computed form (meV per atom): 0
Spin magnetization (μB/atom): 0.525
Total energy (eV for the cell shown): -26.03
Energy of formation from the pure elements (eV/atom): 2.13

***

No. 14
KLiOs2: relaxed, PBE-GGA.

POSCAR file:
```
KLiOs2
1.0
-4.457 -0.164 2.820
0.938 -3.299 1.291
1.723 1.592 2.815
K Li Os
1 1 2
direct
0.500 0.500 0.000
0.500 0.000 0.500
0.000 0.000 0.000
0.000 0.500 0.500
```

Offset from the most stable computed form (meV per atom): 540
Spin magnetization (μB/atom): 0.000
Total energy (eV for the cell shown): -21.25
Energy of formation from the pure elements (eV/atom): 1.06

***

No. 15
KLiOs2: relaxed, PBE-GGA.

POSCAR file:
```
KLiOs2
1.0
-1.462 -1.106 -2.066
2.290 -1.355 0.742
-5.639 -5.682 7.033
Li Os K
1 2 1
direct
0.500 0.500 0.799
0.000 0.000 0.010
0.500 0.500 0.211
0.000 0.000 0.480
```

Offset from the most stable computed form (meV per atom): 374
Spin magnetization (μB/atom): 0.000
Total energy (eV for the cell shown): -21.92
Energy of formation from the pure elements (eV/atom): 0.89

***

No. 16
KLiOs3: relaxed, PBE-GGA.

POSCAR file:
```
KLiOs3
1.0
-1.185 3.234 3.130
-3.105 -2.930 1.852
3.258 -1.617 2.904
Li Os K
1 3 1
direct
0.500 0.500 0.500
0.000 0.000 0.500
0.500 0.000 0.000
0.000 0.500 0.000
0.000 0.000 0.000
```

Offset from the most stable computed form (meV per atom): 1558
Spin magnetization (μB/atom): 0.592
Total energy (eV for the cell shown): -18.24
Energy of formation from the pure elements (eV/atom): 3.69

***

No. 17
KLiOs2: relaxed, PBE-GGA.

POSCAR file:
```
KLiOs2
1.0
-0.578 1.918 1.653
-2.111 0.570 -1.400
-5.418 -6.420 5.554
Os K Li
2 1 1
direct
0.000 0.000 0.966
0.000 0.000 0.534
0.500 0.500 0.250
0.500 0.500 0.750
```

Offset from the most stable computed form (meV per atom): 401
Spin magnetization (μB/atom): 0.000
Total energy (eV for the cell shown): -21.81
Energy of formation from the pure elements (eV/atom): 0.92

***

No. 18
K2LiOs: relaxed, PBE-GGA.

POSCAR file:
```
K2LiOs
1.0
7.434 0.065 0.000
4.317 6.053 0.000
-4.829 -5.068 2.502
Os Li K
1 1 2
direct
0.273 0.773 0.500
0.437 0.437 0.000
0.746 0.246 0.500
0.044 0.044 0.000
```

Offset from the most stable computed form (meV per atom): 95
Spin magnetization (μB/atom): 0.000
Total energy (eV for the cell shown): -11.55
Energy of formation from the pure elements (eV/atom): 0.95

***

No. 19
K2LiOs: relaxed, PBE-GGA.

POSCAR file:
```
K2LiOs
1.0
-1.413 1.145 -3.958
-4.051 0.378 1.556
-0.791 11.561 1.231
K Os Li
4 2 2
direct
0.624 0.125 0.250
0.875 0.874 0.750
0.126 0.625 0.250
0.375 0.376 0.750
0.750 0.250 0.500
0.000 0.000 0.000
0.250 0.750 0.500
0.500 0.500 0.000
```

Offset from the most stable computed form (meV per atom): 595
Spin magnetization (μB/atom): 0.303
Total energy (eV for the cell shown): -19.11
Energy of formation from the pure elements (eV/atom): 1.45

***

No. 20
KLi2Os2: relaxed, PBE-GGA.

POSCAR file:
```
KLi2Os2
1.0
-3.125 1.555 -0.760
-0.440 -2.231 -2.755
-6.117 -6.335 3.792
Os Li K
2 2 1
direct
0.750 0.250 0.500
0.250 0.750 0.500
0.642 0.642 0.717
0.358 0.358 0.283
0.000 0.000 0.000
```

Offset from the most stable computed form (meV per atom): 51
Spin magnetization (μB/atom): 0.000
Total energy (eV for the cell shown): -24.20
Energy of formation from the pure elements (eV/atom): 0.64